# 1
Compound: Ba2MnF
Source: Alexandria
Functional: GGA+U
Structure: relaxed

## Properties
Fermi-level density of states ... 9.62 states/eV/cell
Size of the total moment ... 16.1 Bohr magnetons per cell
Final energy ... -4.314 eV/atom

a = 8.148 Å, b = 8.148 Å, c = 9.187 Å
α = 90.00°, β = 90.00°, γ = 90.00°
Space group I-42d (No. 122)
Asymmetric unit:
Ba1 0.153 0.250 0.125 [8 per cell]
Mn1 0.000 0.000 0.500 [4 per cell]
F1 0.000 0.000 0.000 [4 per cell]

# 2
Compound: BaMn3F
Source: Alexandria
Functional: GGA+U
Structure: relaxed

## Properties
Fermi-level density of states ... 1.90 states/eV/cell
Size of the total moment ... 14.8 Bohr magnetons per cell
Final energy ... -5.211 eV/atom

a = 5.130 Å, b = 5.130 Å, c = 5.130 Å
α = 90.00°, β = 90.00°, γ = 90.00°
Space group Pm-3m (No. 221)
Asymmetric unit:
Ba1 0.000 0.000 0.000 [1 per cell]
Mn1 0.000 0.500 0.500 [3 per cell]
F1 0.500 0.500 0.500 [1 per cell]

# 3
Compound: BaMn2F6
Source: Alexandria
Functional: GGA+U
Structure: relaxed

## Properties
Fermi-level density of states ... 0.00 states/eV/cell
Size of the total moment ... 10.0 Bohr magnetons per cell
Final energy ... -6.206 eV/atom

a = 5.6883 Å, b = 5.6883 Å, c = 5.5794 Å
α = 90.00°, β = 90.00°, γ = 120.00°
Space group P-31m (No. 162)
Asymmetric unit:
Ba1 0.0000 0.0000 0.0000 [1 per cell]
Mn1 0.3333 0.6667 0.5000 [2 per cell]
F1 0.0000 0.3697 0.7099 [6 per cell]

# 4
Compound: BaMnF5
Source: Alexandria
Functional: GGA+U
Structure: relaxed

## Properties
Fermi-level density of states ... 0.00 states/eV/cell
Size of the total moment ... 16.0 Bohr magnetons per cell
Final energy ... -5.792 eV/atom

a = 5.310 Å, b = 5.830 Å, c = 14.289 Å
α = 90.00°, β = 90.00°, γ = 90.00°
Space group P2_12_12_1 (No. 19)
Asymmetric unit:
Ba1 0.246 0.139 0.340 [4 per cell]
Mn1 0.175 0.873 0.587 [4 per cell]
F1 0.033 0.127 0.527 [4 per cell]
F2 0.080 0.383 0.819 [4 per cell]
F3 0.083 0.144 0.988 [4 per cell]
F4 0.121 0.923 0.179 [4 per cell]
F5 0.198 0.389 0.148 [4 per cell]

# 5
Compound: BaMn3F9
Source: Alexandria
Functional: GGA+U
Structure: relaxed

## Properties
Fermi-level density of states ... 1.62 states/eV/cell
Size of the total moment ... 14.0 Bohr magnetons per cell
Final energy ... -5.972 eV/atom

a = 7.6668 Å, b = 7.6668 Å, c = 3.9845 Å
α = 90.00°, β = 90.00°, γ = 120.00°
Space group P6/mmm (No. 191)
Asymmetric unit:
Ba1 0.0000 0.0000 0.0000 [1 per cell]
Mn1 0.0000 0.5000 0.5000 [3 per cell]
F1 0.0000 0.5000 0.0000 [3 per cell]
F2 0.1882 0.3763 0.5000 [6 per cell]

# 6
Compound: BaMn3F
Source: Alexandria
Functional: GGA+U
Structure: relaxed

## Properties
Fermi-level density of states ... 9.72 states/eV/cell
Size of the total moment ... 2.0 Bohr magnetons per cell
Final energy ... -1.959 eV/atom

a = 6.615 Å, b = 6.615 Å, c = 6.615 Å
α = 90.00°, β = 90.00°, γ = 90.00°
Space group Pm-3m (No. 221)
Asymmetric unit:
Ba1 0.000 0.000 0.000 [1 per cell]
Mn1 0.000 0.000 0.500 [3 per cell]
F1 0.500 0.500 0.500 [1 per cell]

# 7
Compound: Ba2MnF
Source: Alexandria
Functional: GGA+U
Structure: relaxed

## Properties
Fermi-level density of states ... 21.00 states/eV/cell
Size of the total moment ... 23.2 Bohr magnetons per cell
Final energy ... -3.842 eV/atom

a = 8.332 Å, b = 8.332 Å, c = 8.332 Å
α = 90.00°, β = 90.00°, γ = 90.00°
Space group Fm-3m (No. 225)
Asymmetric unit:
Ba1 0.250 0.250 0.250 [8 per cell]
Mn1 0.000 0.000 0.000 [4 per cell]
F1 0.000 0.000 0.500 [4 per cell]

# 8
Compound: BaMnF3
Source: Alexandria
Functional: GGA+U
Structure: relaxed

## Properties
Fermi-level density of states ... 0.00 states/eV/cell
Size of the total moment ... 6.0 Bohr magnetons per cell
Final energy ... -5.339 eV/atom

a = 5.087 Å, b = 5.087 Å, c = 5.087 Å
α = 90.00°, β = 90.00°, γ = 90.00°
Space group Pm-3m (No. 221)
Asymmetric unit:
Ba1 0.000 0.000 0.000 [1 per cell]
Mn1 0.500 0.500 0.500 [1 per cell]
F1 0.000 0.000 0.500 [3 per cell]